# 1
This record from OQMD via LeMat-Bulk describes a relaxed TbDyNi2P4 crystal. The functional is PBE.

Cell lengths 3.731, 3.731, 9.463 Å; angles 90.00, 90.00, 90.00 degrees
Atoms (fractional coordinates):
P1 0.500 0.000 0.999
P2 0.000 0.000 0.364
P3 0.500 0.500 0.637
P4 0.000 0.500 0.999
Ni1 0.000 0.500 0.501
Ni2 0.500 0.000 0.501
Dy1 0.000 0.000 0.767
Tb1 0.500 0.500 0.232

Properties
- theoretical density (g/cm³) = 7.1
- total energy (eV/atom) = -6.234

***

# 2
This record from OQMD via LeMat-Bulk describes a relaxed Dy2PaNi9 crystal. The functional is PBE.

Cell lengths 8.629, 8.629, 8.629 Å; angles 33.09, 33.09, 33.09 degrees
Atoms (fractional coordinates):
Ni1 0.583 0.583 0.081
Ni2 0.919 0.417 0.417
Ni3 0.333 0.333 0.333
Ni4 0.081 0.583 0.583
Ni5 0.667 0.667 0.667
Ni6 0.417 0.417 0.919
Ni7 0.417 0.919 0.417
Ni8 0.583 0.081 0.583
Ni9 0.500 0.500 0.500
Pa1 0.000 0.000 0.000
Dy1 0.139 0.139 0.139
Dy2 0.861 0.861 0.861

Properties
- theoretical density (g/cm³) = 10.6
- energy relative to the elements (eV/atom) = -0.430

***

# 3
This record from OQMD via LeMat-Bulk describes a relaxed Dy3Ni2PdPb3 crystal. The functional is PBE.

Cell lengths 7.616, 7.616, 3.923 Å; angles 90.00, 90.00, 120.00 degrees
Atoms (fractional coordinates):
Ni1 0.667 0.333 0.500
Ni2 0.333 0.667 0.500
Pd1 0.000 0.000 0.000
Dy1 0.598 0.000 0.000
Dy2 0.402 0.402 0.000
Dy3 0.000 0.598 0.000
Pb1 0.274 0.000 0.500
Pb2 0.726 0.726 0.500
Pb3 0.000 0.274 0.500

Properties
- theoretical density (g/cm³) = 11.2
- total energy (eV/atom) = -5.092

***

# 4
This record from OQMD via LeMat-Bulk describes a relaxed PrDyNi2Pb crystal. The functional is PBE.

Cell lengths 3.714, 7.525, 7.525 Å; angles 30.94, 90.00, 90.00 degrees
Atoms (fractional coordinates):
Pr1 0.000 0.363 0.363
Dy1 0.000 0.640 0.640
Ni1 0.500 0.198 0.198
Ni2 0.500 0.793 0.793
Pb1 0.500 0.005 0.005

Properties
- theoretical density (g/cm³) = 9.6
- total energy (eV/atom) = -5.308

***

Q: Which of these has the highest theoretical density?
A: Dy3Ni2PdPb3